LiSm2Zr: relaxed, PBE-GGA.

The structure belongs to space group P4/mmm (No. 123); the cell edges are 3.4603, 3.4603 and 9.2569 Å and the angles 90.00°, 90.00° and 90.00°. The distinct sites, in fractional coordinates, are Li at (0.0000, 0.0000, 0.0000), Sm at (0.5000, 0.5000, 0.2534) and Zr at (0.0000, 0.0000, 0.5000).

As for the density of states at the Fermi level: 4.352 states/eV/cell. Its crystal system is tetragonal. The calculation puts the energy above the most stable polymorph in this dataset at 0.0 kJ per mole of atoms. The total magnetization comes out at 0.00 μB per formula unit. Its energy of formation from the pure elements is 36 kJ/mol of formula units.

***

LiSm2Zr: relaxed, PBE-GGA.

The structure belongs to space group R3m (No. 160, hexagonal axes); the cell edges are 3.4179, 3.4179 and 33.5131 Å and the angles 90.00°, 90.00° and 120.00°. The distinct sites, in fractional coordinates, are Li at (0.0000, 0.0000, 0.0000), Sm at (0.0000, 0.0000, 0.2462), Sm at (0.0000, 0.0000, 0.4204) and Zr at (0.0000, 0.0000, 0.8332).

As for the density of states at the Fermi level: 13.078 states/eV/cell. Its crystal system is trigonal. The calculation puts the energy above the most stable polymorph in this dataset at 3.1 kJ per mole of atoms. The total magnetization comes out at 0.00 μB per formula unit. Its energy of formation from the pure elements is 49 kJ/mol of formula units.

***

Li2Sn3: relaxed, PBE-GGA.

The structure belongs to space group Ibam (No. 72); the cell edges are 5.4463, 12.7660 and 7.4805 Å and the angles 90.00°, 90.00° and 90.00°. The distinct sites, in fractional coordinates, are Li at (0.1476, 0.1779, 0.0000), Sn at (0.0000, 0.0000, 0.2500) and Sn at (0.1390, 0.4009, 0.0000).

As for the density of states at the Fermi level: 1.994 states/eV/cell. Its crystal system is orthorhombic. The calculation puts the energy above the most stable polymorph in this dataset at 3.0 kJ per mole of atoms. The total magnetization comes out at 0.00 μB per formula unit. Its energy of formation from the pure elements is -68 kJ/mol of formula units.